Entry from the Alexandria database: an optimized crystal structure of Tl2CdRe (GGA-PBEsol).

Output
Total moment ... 0.00 μB/f.u.
Energy ... -16.4 eV/f.u.
Crystal system ... tetragonal
Energy of formation ... 0.836 eV per atom
Symmetry ... P4/mmm, No. 123
Energy above the lowest structure with this stoichiometry ... 206 meV/atom

a b c (Å): 3.623 3.623 6.107
angles (deg): 90.00 90.00 90.00
Fractional coordinates of all 4 atoms:
Cd (0.500, 0.500, 0.000)
Re (0.500, 0.500, 0.500)
Tl (0.000, 0.000, 0.737)
Tl (0.000, 0.000, 0.263)

---

Entry from the Alexandria database: an optimized crystal structure of Li4Y3FeO8 (GGA-PBEsol).

Output
Total moment ... 1.00 μB/f.u.
Energy ... -119.6 eV/f.u.
Crystal system ... orthorhombic
Symmetry ... C222, No. 21
Uncorrected formation energy ... -2518 meV per atom

a b c (Å): 5.656 5.656 6.080
angles (deg): 90.00 90.00 115.23
Last column: magnetic moment on the atom in μB.
Fractional coordinates of all 16 atoms:
Li (0.000, 0.000, 0.000)  0.00
Li (0.500, 0.500, 0.500)  0.00
Li (0.000, 0.500, 0.244)  0.00
Li (0.500, 0.000, 0.756)  0.00
Y (0.500, 0.500, 0.000)  -0.01
Y (0.500, 0.000, 0.262)  0.00
Y (0.000, 0.500, 0.738)  0.00
Fe (0.000, 0.000, 0.500)  0.95
O (0.269, 0.731, 0.000)  0.00
O (0.731, 0.269, 0.000)  0.00
O (0.796, 0.204, 0.500)  0.01
O (0.204, 0.796, 0.500)  0.01
O (0.752, 0.767, 0.267)  0.00
O (0.248, 0.233, 0.267)  0.00
O (0.233, 0.248, 0.733)  0.00
O (0.767, 0.752, 0.733)  0.00

---

Entry from the Alexandria database: an optimized crystal structure of LaSnRh (GGA-PBEsol).

Output
Total moment ... 0.00 μB/f.u.
Energy ... -20.4 eV/f.u.
Crystal system ... hexagonal
Energy of formation ... -0.888 eV per atom
Symmetry ... P-62m, No. 189

a b c (Å): 4.199 7.409 7.409
angles (deg): 120.00 90.00 90.00
Fractional coordinates of all 9 atoms:
La (0.000, 0.000, 0.583)
La (0.000, 0.583, 0.000)
La (0.000, 0.417, 0.417)
Sn (0.500, 0.246, 0.000)
Sn (0.500, 0.000, 0.246)
Sn (0.500, 0.754, 0.754)
Rh (0.500, 0.667, 0.333)
Rh (0.500, 0.333, 0.667)
Rh (0.000, 0.000, 0.000)

---

total moment of number 3 (LaSnRh)?
0.00 μB/f.u.

---

Number 2 is which compound?
Li4Y3FeO8